Computed, not measured: a geometry-optimized Ta2CrTeAs structure at the GGA-PBE level of DFT.

Cell: 4.743 4.743 5.284 Å, 90.00 90.00 90.00°
Space group P4/mmm (No. 123)
Inequivalent atoms, fractional coordinates:
Ta 0.000 0.500 0.000 (multiplicity 2)
Cr 0.000 0.000 0.500 (multiplicity 1)
Te 0.500 0.500 0.500 (multiplicity 1)
As 0.500 0.500 0.000 (multiplicity 1)

- energy (Ha/atom) = -0.2403
- formation energy (no corrections) (eV/atom) = 1.684
- theoretical density (g cm⁻³) = 8.61



Computed, not measured: a geometry-optimized CaZrPd2Ru structure at the GGA-PBE level of DFT.

Cell: 4.823 4.823 5.407 Å, 90.00 90.00 90.00°
Space group P4/mmm (No. 123)
Inequivalent atoms, fractional coordinates:
Ca 0.000 0.000 0.000 (multiplicity 1)
Zr 0.000 0.000 0.500 (multiplicity 1)
Pd 0.000 0.500 0.500 (multiplicity 2)
Ru 0.500 0.500 0.000 (multiplicity 1)

- energy (Ha/atom) = -0.1755
- theoretical density (g cm⁻³) = 5.88



Computed, not measured: a geometry-optimized Tc2AsBr structure at the GGA-PBE level of DFT.

Cell: 2.976 4.134 5.588 Å, 90.00 90.00 90.00°
Space group Pmmm (No. 47)
Inequivalent atoms, fractional coordinates:
Tc 0.000 0.000 0.000 (multiplicity 1)
Tc 0.500 0.000 0.500 (multiplicity 1)
As 0.000 0.500 0.500 (multiplicity 1)
Br 0.500 0.500 0.000 (multiplicity 1)

- energy (Ha/atom) = -0.2183
- formation energy (no corrections) (eV/atom) = 0.822
- theoretical density (g cm⁻³) = 8.47